DFT (PBE) results for LaTcPb2 after structural relaxation.

Lattice parameters (Å, degrees): 3.5448 5.6108 10.4002 90.00 90.00 90.00
Fractional coordinates of all 8 atoms:
La  0.0000  0.0000  0.0000
La  0.5000  0.5000  0.5000
Tc  0.0000  0.0000  0.5000
Tc  0.5000  0.5000  0.0000
Pb  0.0000  0.5000  0.2140
Pb  0.0000  0.5000  0.7860
Pb  0.5000  0.0000  0.2860
Pb  0.5000  0.0000  0.7140

Symmetry: Immm, No. 71
Offset from the most stable computed form, meV/atom: 9.3


DFT (PBE) results for La2TcPb after structural relaxation.

Lattice parameters (Å, degrees): 3.6173 3.6173 7.8269 90.00 90.00 90.00
Fractional coordinates of all 4 atoms:
La  0.0000  0.0000  0.0000
La  0.5000  0.5000  0.2942
Tc  0.5000  0.5000  0.7840
Pb  0.0000  0.0000  0.5869

Symmetry: P4mm, No. 99
E, eV/cell: -23.38


DFT (PBE) results for LaTcPb2 after structural relaxation.

Lattice parameters (Å, degrees): 3.7403 4.8823 5.8455 90.00 102.74 90.00
Fractional coordinates of all 4 atoms:
La  0.0000  0.0000  0.0000
Tc  0.5000  0.0000  0.5000
Pb  0.3523  0.5000  0.7232
Pb  0.6477  0.5000  0.2768

Symmetry: P2/m, No. 10
Offset from the most stable computed form, meV/atom: 67.2


DFT (PBE) results for La3TcPb after structural relaxation.

Lattice parameters (Å, degrees): 8.4579 6.6716 12.4042 90.00 118.37 90.00
Fractional coordinates of all 20 atoms:
La  0.1128  0.2415  0.3531
La  0.1128  0.2585  0.8531
La  0.3205  0.0328  0.6739
La  0.3205  0.4672  0.1739
La  0.3340  0.7430  0.4382
La  0.3340  0.7570  0.9382
La  0.6660  0.2430  0.0618
La  0.6660  0.2570  0.5618
La  0.6795  0.5328  0.8261
La  0.6795  0.9672  0.3261
La  0.8872  0.7415  0.1469
La  0.8872  0.7585  0.6469
Tc  0.0478  0.6722  0.9397
Tc  0.0478  0.8278  0.4397
Tc  0.9522  0.1722  0.5603
Tc  0.9522  0.3278  0.0603
Pb  0.2203  0.5130  0.6385
Pb  0.2203  0.9870  0.1385
Pb  0.7797  0.0130  0.8615
Pb  0.7797  0.4870  0.3615

Symmetry: P2_1/c, No. 14
Offset from the most stable computed form, meV/atom: 65.8


DFT (PBE) results for La2TcPb after structural relaxation.

Lattice parameters (Å, degrees): 8.5044 8.5044 6.2173 90.00 90.00 90.00
Fractional coordinates of all 16 atoms:
La  0.1782  0.2500  0.1250
La  0.2500  0.6782  0.3750
La  0.2500  0.8218  0.8750
La  0.3218  0.2500  0.6250
La  0.6782  0.7500  0.6250
La  0.7500  0.1782  0.8750
La  0.7500  0.3218  0.3750
La  0.8218  0.7500  0.1250
Tc  0.0000  0.0000  0.0000
Tc  0.0000  0.5000  0.2500
Tc  0.5000  0.0000  0.7500
Tc  0.5000  0.5000  0.5000
Pb  0.0000  0.0000  0.5000
Pb  0.0000  0.5000  0.7500
Pb  0.5000  0.0000  0.2500
Pb  0.5000  0.5000  0.0000

Symmetry: I-42d, No. 122
E, eV/cell: -95.04


DFT (PBE) results for La2TcPb after structural relaxation.

Lattice parameters (Å, degrees): 3.6139 3.6139 28.8339 90.00 90.00 120.00
Fractional coordinates of all 12 atoms:
La  0.0000  0.0000  0.0000
La  0.0000  0.0000  0.2318
La  0.3333  0.6667  0.6667
La  0.3333  0.6667  0.8984
La  0.6667  0.3333  0.3333
La  0.6667  0.3333  0.5651
Tc  0.0000  0.0000  0.7369
Tc  0.3333  0.6667  0.4036
Tc  0.6667  0.3333  0.0702
Pb  0.0000  0.0000  0.4694
Pb  0.3333  0.6667  0.1361
Pb  0.6667  0.3333  0.8027

Symmetry: R3m, No. 160
E, eV/cell: -68.30


DFT (PBE) results for LaTc2Pb2 after structural relaxation.

Lattice parameters (Å, degrees): 4.3867 4.3867 12.6088 90.00 90.00 90.00
Fractional coordinates of all 10 atoms:
La  0.0000  0.0000  0.0000
La  0.5000  0.5000  0.5000
Tc  0.0000  0.5000  0.2500
Tc  0.0000  0.5000  0.7500
Tc  0.5000  0.0000  0.2500
Tc  0.5000  0.0000  0.7500
Pb  0.0000  0.0000  0.3806
Pb  0.0000  0.0000  0.6194
Pb  0.5000  0.5000  0.1194
Pb  0.5000  0.5000  0.8806

Symmetry: I4/mmm, No. 139
E, eV/cell: -63.02


DFT (PBE) results for La2TcPb after structural relaxation.

Lattice parameters (Å, degrees): 3.7583 3.7583 28.9395 90.00 90.00 120.00
Fractional coordinates of all 12 atoms:
La  0.0000  0.0000  0.2353
La  0.0000  0.0000  0.7647
La  0.3333  0.6667  0.4314
La  0.3333  0.6667  0.9019
La  0.6667  0.3333  0.0981
La  0.6667  0.3333  0.5686
Tc  0.0000  0.0000  0.5000
Tc  0.3333  0.6667  0.1667
Tc  0.6667  0.3333  0.8333
Pb  0.0000  0.0000  0.0000
Pb  0.3333  0.6667  0.6667
Pb  0.6667  0.3333  0.3333

Symmetry: R-3m, No. 166
E, eV/cell: -70.98